DFT (PBE) results for a relaxed KSrYF6 crystal.

Geometry as extended XYZ:
```
18
Lattice="6.394 0.000 0.000 -3.197 5.538 0.000 0.000 0.000 10.070" Properties=species:S:1:pos:R:3 pbc="T T T"
Y 3.197 1.846 2.517
Y 0.000 3.692 7.552
F 1.303 1.949 3.643
F 0.858 5.383 8.678
F 5.091 1.949 1.392
F 4.055 0.154 3.643
F -0.858 5.383 6.427
F 2.161 3.435 1.392
F 1.894 3.589 6.427
F -1.036 2.103 6.427
F 1.036 2.103 8.678
F 4.233 3.435 3.643
F 2.339 0.154 1.392
F -1.894 3.589 8.678
Sr 3.197 1.846 7.552
Sr 0.000 3.692 2.517
K 0.000 0.000 5.035
K 0.000 0.000 0.000
```

Summary:
**Crystal system**: trigonal
**DFT total energy**: -5.99 eV per atom
**Space group**: P-31c (163)

DFT (PBE) results for a relaxed KSr2ZnF8 crystal.

Geometry as extended XYZ:
```
12
Lattice="-3.510 2.512 -0.267 -1.469 -3.817 -3.697 -3.544 -4.327 5.877" Properties=species:S:1:pos:R:3 pbc="T T T"
F -6.505 -2.017 3.582
F -4.465 -3.760 0.139
F -4.058 -1.872 1.774
F -4.164 -6.234 1.888
F -5.285 -4.135 4.969
F -3.239 -1.497 -3.056
F -2.018 -3.615 -1.669
F -4.360 0.602 0.025
Sr -5.190 -3.949 2.496
Sr -3.333 -1.683 -0.583
K -1.772 -2.163 2.939
Zn 0.000 0.000 0.000
```

Summary:
**Crystal system**: monoclinic
**DFT total energy**: -4.69 eV per atom
**Space group**: P2/m (10)

DFT (PBE) results for a relaxed KTaF5 crystal.

Geometry as extended XYZ:
```
14
Lattice="-2.608 -4.847 2.970 -2.436 -0.010 -5.760 8.145 -1.199 -2.455" Properties=species:S:1:pos:R:3 pbc="T T T"
F 3.351 -2.645 -1.574
F 4.425 -4.788 -4.476
F 1.668 -1.738 -4.800
F 1.721 -4.539 -5.371
F -0.251 -3.410 -3.672
F -1.325 -1.268 -0.770
F 5.066 -1.644 -6.418
F -1.966 -4.412 1.172
F 1.379 -1.517 0.126
F 1.432 -4.317 -0.445
Ta 2.768 -3.023 0.257
Ta 0.000 0.000 0.000
K -1.134 -3.936 -1.264
K 4.234 -2.120 -3.982
```

Summary:
**Crystal system**: monoclinic
**DFT total energy**: -6.21 eV per atom
**Space group**: C2/c (15)

DFT (PBE) results for a relaxed KTaF3 crystal.

Geometry as extended XYZ:
```
5
Lattice="-3.410 0.223 -3.039 2.035 -3.227 -2.521 -2.268 -3.232 2.307" Properties=species:S:1:pos:R:3 pbc="T T T"
F 1.017 -1.614 -1.260
F -1.705 0.112 -1.519
F -1.134 -1.616 1.153
K 0.000 0.000 0.000
Ta -1.821 -3.118 -1.626
```

Summary:
**Crystal system**: cubic
**Energy above the most stable polymorph in this dataset**: 1401 meV per atom
**Space group**: Pm-3m (221)

DFT (PBE) results for a relaxed K3TaF6 crystal.

Geometry as extended XYZ:
```
10
Lattice="-0.451 -3.249 -5.637 2.343 -6.069 -0.462 -4.098 -5.045 -0.537" Properties=species:S:1:pos:R:3 pbc="T T T"
K -0.551 -3.591 -1.659
K -1.103 -7.182 -3.318
K -1.654 -10.773 -4.977
F -1.461 -9.344 -2.044
F 0.543 -8.356 -4.847
F -2.749 -6.007 -1.790
F 0.791 -6.570 -1.748
F -0.744 -5.020 -4.593
F -2.997 -7.793 -4.888
Ta 0.000 0.000 0.000
```

Summary:
**Crystal system**: cubic
**DFT total energy**: -5.29 eV per atom
**Space group**: Fm-3m (225)

DFT (PBE) results for a relaxed KTa2F crystal.

Geometry as extended XYZ:
```
8
Lattice="-2.898 -5.680 1.849 5.973 -2.757 0.893 1.540 -2.764 5.844" Properties=species:S:1:pos:R:3 pbc="T T T"
Ta 3.802 -5.926 5.634
Ta 0.045 -3.165 2.266
Ta 3.031 -4.544 2.712
Ta 2.353 -8.766 6.559
K 0.090 -6.331 4.532
K 0.000 0.000 0.000
F 1.538 -4.218 1.371
F 4.525 -4.870 4.054
```

Summary:
**Crystal system**: tetragonal
**Energy above the most stable polymorph in this dataset**: 0 meV per atom
**Space group**: I4_1/amd (141)

DFT (PBE) results for a relaxed K3TaF8 crystal.

Geometry as extended XYZ:
```
24
Lattice="8.402 0.000 0.000 -4.201 7.276 0.000 0.000 0.000 6.405" Properties=species:S:1:pos:R:3 pbc="T T T"
F 0.000 0.000 0.032
F 4.201 2.425 3.518
F -1.658 5.808 5.232
F 2.543 1.468 2.030
F 4.201 0.920 0.232
F 5.859 1.468 2.030
F 0.000 6.356 3.435
F 0.000 0.000 3.235
F 1.304 4.098 3.435
F 5.505 3.178 0.232
F 0.000 4.851 0.315
F 2.897 3.178 0.232
F -1.304 4.098 3.435
F 0.000 2.936 5.232
F 4.201 4.340 2.030
F 1.658 5.808 5.232
K 4.201 5.046 4.767
K 0.000 2.230 1.564
K 6.470 1.115 4.767
K 1.932 1.115 4.767
K -2.269 6.161 1.564
K 2.269 6.161 1.564
Ta 0.000 4.851 4.733
Ta 4.201 2.425 1.531
```

Summary:
**Crystal system**: hexagonal
**DFT total energy**: -5.65 eV per atom
**Space group**: P6_3mc (186)

DFT (PBE) results for a relaxed KTa2F crystal.

Geometry as extended XYZ:
```
4
Lattice="0.000 3.396 3.396 3.396 0.000 3.396 3.396 3.396 0.000" Properties=species:S:1:pos:R:3 pbc="T T T"
Ta 5.094 5.094 5.094
Ta 1.698 1.698 1.698
K 3.396 3.396 3.396
F 0.000 0.000 0.000
```

Summary:
**Crystal system**: cubic
**Energy above the most stable polymorph in this dataset**: 891 meV per atom
**Space group**: Fm-3m (225)

DFT (PBE) results for a relaxed KTaF3 crystal.

Geometry as extended XYZ:
```
5
Lattice="4.406 0.000 0.000 0.000 4.406 0.000 0.000 0.000 4.406" Properties=species:S:1:pos:R:3 pbc="T T T"
F 2.203 0.000 0.000
F 0.000 2.203 0.000
F 0.000 0.000 2.203
Ta 0.000 0.000 0.000
K 2.203 2.203 2.203
```

Summary:
**Crystal system**: cubic
**Energy above the most stable polymorph in this dataset**: 0 meV per atom
**Space group**: Pm-3m (221)

DFT (PBE) results for a relaxed K2TaF7 crystal.

Geometry as extended XYZ:
```
20
Lattice="-4.204 -2.332 5.023 2.722 0.211 7.188 -4.318 5.833 3.907" Properties=species:S:1:pos:R:3 pbc="T T T"
F -5.038 3.052 7.690
F -3.350 3.252 4.566
F -3.170 5.342 11.053
F -4.590 2.352 14.677
F -0.762 0.660 8.428
F -0.623 2.948 7.260
F -1.210 1.360 1.441
F -2.450 0.460 11.552
F -6.886 2.763 11.005
F -5.177 0.764 8.858
F -4.620 2.933 10.110
F -1.181 0.779 6.009
F -2.630 -1.631 5.065
F 1.086 0.949 5.113
K -2.743 4.117 8.510
K -3.217 2.971 12.393
K -2.583 0.741 3.725
K -3.057 -0.405 7.609
Ta -6.263 2.372 9.154
Ta 0.463 1.339 6.965
```

Summary:
**Crystal system**: monoclinic
**Energy above the most stable polymorph in this dataset**: 17 meV per atom
**Space group**: C2/c (15)

DFT (PBE) results for a relaxed KTa2F11 crystal.

Geometry as extended XYZ:
```
28
Lattice="-1.019 -3.593 7.107 -6.908 -5.451 0.788 3.059 -8.250 0.803" Properties=species:S:1:pos:R:3 pbc="T T T"
F -0.920 -6.906 3.287
F -2.820 -13.671 3.913
F -2.434 -8.647 4.349
F -2.048 -3.623 4.785
F -3.558 -5.562 2.154
F 0.844 -8.129 1.718
F -3.303 -8.084 6.668
F 1.128 -8.011 4.240
F 0.349 -5.853 0.684
F -0.482 -9.696 5.270
F 0.000 0.000 0.000
F -4.386 -7.598 3.428
F -5.713 -9.165 6.981
F -1.310 -11.732 6.544
F -5.996 -9.282 4.459
F -5.356 -6.996 5.706
F -5.217 -11.440 8.014
F 0.384 -2.274 1.065
F -1.565 -9.209 2.030
F 0.488 -10.297 2.993
F -3.948 -10.387 5.411
F -5.252 -15.020 7.633
Ta -4.378 -8.542 5.154
Ta -0.490 -8.751 3.544
Ta 0.328 -10.921 7.099
Ta -5.196 -6.373 1.599
K -1.217 -4.323 2.175
K -3.651 -12.970 6.524
```

Summary:
**Crystal system**: orthorhombic
**DFT total energy**: -6.45 eV per atom
**Space group**: Ibam (72)

DFT (PBE) results for a relaxed K2TaF7 crystal.

Geometry as extended XYZ:
```
40
Lattice="-2.741 0.473 12.604 -2.514 -5.373 -0.345 7.595 -3.742 1.792" Properties=species:S:1:pos:R:3 pbc="T T T"
F 4.983 -6.206 2.347
F 1.960 -5.200 10.606
F 2.184 -6.658 7.027
F -0.309 -0.450 5.172
F 2.649 -8.192 8.880
F 3.894 -6.038 9.156
F 4.283 -2.459 2.411
F -0.370 -5.001 0.414
F 4.148 -5.309 4.477
F 0.156 -1.985 7.024
F -4.431 -4.045 10.832
F 5.250 -3.134 4.496
F 0.380 -3.443 3.445
F 2.710 -3.642 13.637
F -1.808 -3.334 9.574
F 3.003 -4.607 2.300
F 0.916 -7.385 10.322
F -1.554 -2.605 4.895
F -1.944 -6.184 11.640
F 1.424 -1.258 3.729
F 0.243 -4.172 5.788
F 6.771 -4.598 3.219
F 2.256 -2.603 5.623
F 0.084 -6.040 8.428
F 2.097 -4.471 8.263
F -0.663 -4.036 11.751
F -2.644 -2.437 11.704
F -2.910 -5.509 9.555
K 1.646 -2.440 1.244
K 4.453 -4.440 11.486
K 0.837 -2.600 9.756
K -2.063 -4.511 7.124
K 1.503 -6.043 4.295
K -2.113 -4.203 2.565
K 4.402 -4.132 6.927
K 0.694 -6.203 12.807
Ta 1.943 -6.328 8.959
Ta -2.524 -4.341 11.142
Ta 4.864 -4.302 2.909
Ta 0.397 -2.315 5.092
```

Summary:
**Crystal system**: monoclinic
**Energy above the most stable polymorph in this dataset**: 0 meV per atom
**Space group**: P2_1/c (14)

DFT (PBE) results for a relaxed K2TaF7 crystal.

Geometry as extended XYZ:
```
40
Lattice="5.884 0.000 0.000 0.000 10.214 0.000 0.000 0.000 11.466" Properties=species:S:1:pos:R:3 pbc="T T T"
Ta 4.413 2.586 4.425
Ta 1.471 2.520 10.158
Ta 1.471 7.627 7.040
Ta 4.413 7.693 1.307
F 2.759 8.629 5.918
F 3.220 6.850 2.642
F 3.124 6.691 0.185
F 2.664 8.470 8.375
F 5.703 9.132 1.753
F 1.471 6.519 5.379
F 0.183 8.629 5.918
F 5.606 1.743 3.091
F 5.606 6.850 2.642
F 3.122 4.025 3.980
F 2.759 3.522 11.281
F 2.664 3.363 8.823
F 1.471 1.412 0.354
F 0.278 3.363 8.823
F 0.183 3.522 11.281
F 3.122 9.132 1.753
F 0.180 6.189 7.486
F 0.278 8.470 8.375
F 3.124 1.585 5.548
F 2.762 6.189 7.486
F 5.701 1.585 5.548
F 2.762 1.082 9.713
F 4.413 8.802 11.112
F 5.703 4.025 3.980
F 0.180 1.082 9.713
F 4.413 3.695 6.087
F 3.220 1.743 3.091
F 5.701 6.691 0.185
K 1.471 9.982 3.789
K 4.413 1.224 0.674
K 1.471 4.875 1.943
K 4.413 0.232 7.676
K 4.413 6.331 5.059
K 1.471 8.990 10.792
K 1.471 3.883 6.406
K 4.413 5.339 9.522
```

Summary:
**Crystal system**: orthorhombic
**Energy above the most stable polymorph in this dataset**: 8 meV per atom
**Space group**: Pnma (62)

DFT (PBE) results for a relaxed KTaTlF6 crystal.

Geometry as extended XYZ:
```
18
Lattice="7.189 0.000 0.000 -3.594 6.226 0.000 0.000 0.000 7.578" Properties=species:S:1:pos:R:3 pbc="T T T"
Ta 0.000 4.151 5.683
Ta 3.594 2.075 1.894
K 3.594 2.075 5.683
K 0.000 4.151 1.894
F 4.457 0.642 2.943
F 2.732 0.642 0.846
F -1.672 4.181 6.732
F 1.922 2.045 2.943
F 4.404 3.539 2.943
F 5.267 2.045 0.846
F 0.810 2.687 6.732
F -0.810 2.687 4.635
F -0.863 5.584 4.635
F 0.863 5.584 6.732
F 2.785 3.539 0.846
F 1.672 4.181 4.635
Tl 0.000 0.000 0.000
Tl 0.000 0.000 3.789
```

Summary:
**Crystal system**: trigonal
**DFT total energy**: -5.72 eV per atom
**Space group**: P-31c (163)

DFT (PBE) results for a relaxed K2TaTlF6 crystal.

Geometry as extended XYZ:
```
10
Lattice="5.675 -1.055 3.521 0.715 2.713 6.152 -0.106 -3.964 5.477" Properties=species:S:1:pos:R:3 pbc="T T T"
F 1.752 1.062 6.759
F 4.533 -3.368 8.390
F 5.003 0.458 8.777
F 1.281 -2.763 6.373
F 1.691 -1.209 9.897
F 4.593 -1.096 5.252
Ta 0.000 0.000 0.000
K 4.713 -1.729 11.362
K 1.571 -0.576 3.787
Tl 3.142 -1.153 7.575
```

Summary:
**Crystal system**: cubic
**DFT total energy**: -5.19 eV per atom
**Space group**: Fm-3m (225)

Magnetic moment values, unit Bohr magnetons per cell, following the record order: 0.41; 1.10; 2.00; 3.00; 1.81; 0.00; 0.00; 0.00; 2.90; 0.00; 0.00; 0.35; 0.17; 1.35; 1.72.
Density of states at the Fermi level values, unit states/eV/cell, following the record order: 0.00; 8.17; 2.74; 3.86; 11.10; 8.63; 0.00; 2.49; 1.86; 0.00; 0.00; 0.00; 0.00; 6.71; 10.67.